(1)
{"formula": "Ho6GaIr", "functional": "PBE", "state": "relaxed", "spacegroup": "No. 12", "dos_at_fermi_per_ev_atom": 1.087, "vol_a3_per_atom": 29.56, "formation_energy_kcal_per_mol_atoms": -5.20, "dft_energy_ev_per_atom": -5.145, "lattice": [[6.770, 0.000, 0.000], [0.000, 11.370, 0.000], [-2.668, 0.000, 6.145]], "species": ["Ho", "Ho", "Ho", "Ho", "Ho", "Ho", "Ho", "Ho", "Ho", "Ho", "Ho", "Ho", "Ga", "Ga", "Ir", "Ir"], "fractional_positions": [[0.239, 0.000, 0.262], [0.239, 0.187, 0.745], [0.239, 0.813, 0.745], [0.261, 0.313, 0.255], [0.261, 0.500, 0.738], [0.261, 0.687, 0.255], [0.739, 0.313, 0.745], [0.739, 0.500, 0.262], [0.739, 0.687, 0.745], [0.761, 0.000, 0.738], [0.761, 0.187, 0.255], [0.761, 0.813, 0.255], [0.000, 0.500, 0.000], [0.500, 0.000, 0.000], [0.000, 0.000, 0.500], [0.500, 0.500, 0.500]]}



(2)
{"formula": "Zn5Ag2Ru", "functional": "PBE", "state": "relaxed", "spacegroup": "No. 139", "dos_at_fermi_per_ev_atom": 0.275, "vol_a3_per_atom": 15.06, "formation_energy_kcal_per_mol_atoms": -1.88, "dft_energy_ev_per_atom": -2.750, "lattice": [[3.945, 0.000, 0.000], [0.000, 3.945, 0.000], [0.000, 0.000, 15.488]], "species": ["Zn", "Zn", "Zn", "Zn", "Zn", "Zn", "Zn", "Zn", "Zn", "Zn", "Ag", "Ag", "Ag", "Ag", "Ru", "Ru"], "fractional_positions": [[0.000, 0.000, 0.000], [0.000, 0.500, 0.117], [0.000, 0.500, 0.383], [0.000, 0.500, 0.617], [0.000, 0.500, 0.883], [0.500, 0.000, 0.117], [0.500, 0.000, 0.383], [0.500, 0.000, 0.617], [0.500, 0.000, 0.883], [0.500, 0.500, 0.500], [0.000, 0.000, 0.259], [0.000, 0.000, 0.741], [0.500, 0.500, 0.241], [0.500, 0.500, 0.759], [0.000, 0.000, 0.500], [0.500, 0.500, 0.000]]}



> Number 2 is which compound?

Zn5Ag2Ru